one.
{"formula": "HfTiTe2N", "functional": "PBE", "state": "relaxed", "lattice_angstrom": [[-4.3253, 1.5045, 2.9580], [2.1907, -2.3557, 4.4015], [1.6952, 3.1830, 0.8598]], "species": ["N", "Te", "Te", "Hf", "Ti"], "fractional_positions": [[0.0000, 0.0000, 0.5000], [0.0000, 0.5000, 0.0000], [0.5000, 0.0000, 0.0000], [0.5000, 0.5000, 0.5000], [0.0000, 0.0000, 0.0000]], "sg": "P4/mmm, No. 123"}

two.
{"formula": "HfTiTe2N", "functional": "PBE", "state": "relaxed", "lattice_angstrom": [[5.6784, 0.0000, 0.0000], [0.0000, 5.6784, 0.0000], [0.0000, 0.0000, 3.9500]], "species": ["N", "Te", "Te", "Hf", "Ti"], "fractional_positions": [[0.0000, 0.0000, 0.5000], [0.0000, 0.5000, 0.0000], [0.5000, 0.0000, 0.0000], [0.0000, 0.0000, 0.0000], [0.5000, 0.5000, 0.5000]], "sg": "P4/mmm, No. 123"}

Most stable structure - one; separation to the second - 129 meV/atom.

one.
{"formula": "HfTiTeN2", "functional": "PBE", "state": "relaxed", "lattice_angstrom": [[4.1132, 0.0000, 0.0000], [0.0000, 4.1132, 0.0000], [0.0000, 0.0000, 5.7600]], "species": ["N", "N", "Te", "Hf", "Ti"], "fractional_positions": [[0.0000, 0.5000, 0.0000], [0.5000, 0.0000, 0.0000], [0.0000, 0.0000, 0.5000], [0.0000, 0.0000, 0.0000], [0.5000, 0.5000, 0.5000]], "sg": "P4/mmm, No. 123"}

two.
{"formula": "HfTiTeN2", "functional": "PBE", "state": "relaxed", "lattice_angstrom": [[-3.6091, -1.2063, 1.2419], [0.4138, -3.3891, -2.0894], [2.2321, -2.3308, 4.2229]], "species": ["N", "N", "Te", "Hf", "Ti"], "fractional_positions": [[0.0000, 0.5000, 0.0000], [0.5000, 0.0000, 0.0000], [0.0000, 0.0000, 0.5000], [0.5000, 0.5000, 0.5000], [0.0000, 0.0000, 0.0000]], "sg": "P4/mmm, No. 123"}

Most stable structure - two; separation to the second - 44 meV/atom.

one.
{"formula": "HfTlTeN2", "functional": "PBE", "state": "relaxed", "lattice_angstrom": [[-2.0496, -2.8724, -2.3409], [-0.0530, -2.6522, 3.3007], [-5.2529, 2.3065, 1.7690]], "species": ["Tl", "Te", "Hf", "N", "N"], "fractional_positions": [[0.5000, 0.5000, 0.5000], [0.0000, 0.0000, 0.5000], [0.0000, 0.0000, 0.0000], [0.0000, 0.5000, 0.0000], [0.5000, 0.0000, 0.0000]], "sg": "P4/mmm, No. 123"}

two.
{"formula": "HfTlTeN2", "functional": "PBE", "state": "relaxed", "lattice_angstrom": [[-1.8632, -0.7810, 3.7361], [3.1657, -2.6388, 1.0272], [2.9760, 4.5153, 2.4280]], "species": ["Tl", "Te", "Hf", "N", "N"], "fractional_positions": [[0.0000, 0.0000, 0.0000], [0.0000, 0.0000, 0.5000], [0.5000, 0.5000, 0.5000], [0.0000, 0.5000, 0.0000], [0.5000, 0.0000, 0.0000]], "sg": "P4/mmm, No. 123"}

Most stable structure - one; separation to the second - 1489 meV/atom.